No. 1
VASP calculation (PBE) on an optimized crystal structure of Sn2Pd9Au.

abc: 4.047 4.047 11.961
angles: 90.00 90.00 90.00
Atoms (fractional coordinates):
Sn (0.000, 0.000, 0.170)
Sn (0.000, 0.000, 0.830)
Pd (0.000, 0.500, 0.000)
Pd (0.000, 0.500, 0.333)
Pd (0.000, 0.500, 0.667)
Pd (0.500, 0.000, 0.000)
Pd (0.500, 0.000, 0.333)
Pd (0.500, 0.000, 0.667)
Pd (0.500, 0.500, 0.166)
Pd (0.500, 0.500, 0.500)
Pd (0.500, 0.500, 0.834)
Au (0.000, 0.000, 0.500)

Results
**Energy of formation**: -0.345 eV/atom
**Space-group type**: P4/mmm, No. 123
**Calculated volume**: 16.3 Å³ per atom
**Fermi-level density of states**: 0.9691 states/eV/atom
**Magnetic moment**: 0.0 μB/cell

No. 2
VASP calculation (PBE) on an optimized crystal structure of Pm2HoAu.

abc: 3.712 3.712 8.476
angles: 90.00 90.00 90.00
Atoms (fractional coordinates):
Pm (0.000, 0.000, 0.212)
Pm (0.000, 0.000, 0.788)
Ho (0.500, 0.500, 0.500)
Au (0.500, 0.500, 0.000)

Results
**Energy of formation**: -0.351 eV/atom
**Space-group type**: P4/mmm, No. 123
**Calculated volume**: 29.2 Å³ per atom
**Distance to the lowest polymorph of the same formula**: 0.059 eV per atom
**Fermi-level density of states**: 1.4842 states/eV/atom
**Magnetic moment**: 0.0 μB/cell